<a>
NdSm3In4 | PBE | optimized geometry

Unit cell a=3.527 b=7.266 c=10.349 alpha=110.54 beta=99.81 gamma=90.00
Site moments in Bohr magnetons follow the coordinates.
Atoms (fractional coordinates):
Sm (0.218, 0.218, 0.437)  0.00
Nd (0.500, 0.000, 0.000)  0.06
In (0.628, 0.419, 0.255)  0.00
In (0.628, 0.836, 0.255)  0.00
In (0.372, 0.581, 0.745)  0.00
Sm (0.782, 0.782, 0.563)  0.00
In (0.372, 0.164, 0.745)  0.00
Sm (0.000, 0.500, 0.000)  0.00

<b>
NdSm3In4 | PBE | optimized geometry

Unit cell a=3.842 b=3.842 c=15.378 alpha=90.00 beta=90.00 gamma=90.00
Atoms (fractional coordinates):
Nd (0.500, 0.500, 0.000)
In (0.000, 0.000, 0.128)
Sm (0.500, 0.500, 0.500)
In (0.000, 0.000, 0.624)
In (0.000, 0.000, 0.376)
In (0.000, 0.000, 0.872)
Sm (0.500, 0.500, 0.252)
Sm (0.500, 0.500, 0.748)

The energy of each structure relative to the most stable one, in meV per atom, is as follows: <a> 172; <b> 0.

<a>
Nd3SmIn2 | PBE | optimized geometry

Unit cell a=5.040 b=9.285 c=9.436 alpha=119.48 beta=105.49 gamma=90.00
Atoms (fractional coordinates):
In (0.657, 0.658, 0.315)
Nd (0.173, 0.423, 0.347)
In (0.343, 0.342, 0.685)
Sm (0.000, 0.000, 0.000)
Nd (0.827, 0.577, 0.653)
Nd (0.173, 0.923, 0.347)
Nd (0.827, 0.077, 0.653)
Sm (0.000, 0.500, 0.000)
In (0.657, 0.157, 0.315)
In (0.343, 0.843, 0.685)
Nd (0.500, 0.250, 0.000)
Nd (0.500, 0.750, 0.000)

<b>
Nd3SmIn2 | PBE | optimized geometry

Unit cell a=5.351 b=6.883 c=10.136 alpha=90.00 beta=90.00 gamma=90.00
Atoms (fractional coordinates):
In (0.000, 0.288, 0.644)
In (0.500, 0.713, 0.854)
Nd (0.000, 0.807, 0.676)
Nd (0.000, 0.307, 0.324)
Nd (0.000, 0.467, 0.961)
Nd (0.500, 0.693, 0.179)
Sm (0.500, 0.532, 0.540)
Sm (0.500, 0.032, 0.460)
Nd (0.500, 0.193, 0.821)
Nd (0.000, 0.967, 0.039)
In (0.000, 0.788, 0.356)
In (0.500, 0.213, 0.146)

The energy of each structure relative to the most stable one, in meV per atom, is as follows: <a> 48; <b> 0.

<a>
Nd5Sm4In | PBE | optimized geometry

Unit cell a=6.075 b=8.161 c=8.161 alpha=82.04 beta=68.15 gamma=68.15
Atoms (fractional coordinates):
In (0.191, 0.000, 0.000)
Sm (0.459, 0.314, 0.686)
Nd (0.140, 0.625, 0.000)
Sm (0.773, 0.686, 0.686)
Sm (0.459, 0.686, 0.314)
Nd (0.140, 0.000, 0.625)
Nd (0.670, 0.000, 0.000)
Nd (0.766, 0.000, 0.375)
Sm (0.146, 0.314, 0.314)
Nd (0.766, 0.375, 0.000)

<b>
Nd5Sm4In | PBE | optimized geometry

Unit cell a=4.259 b=4.259 c=18.350 alpha=90.00 beta=90.00 gamma=90.00
Atoms (fractional coordinates):
Sm (0.000, 0.000, 0.602)
Sm (0.000, 0.000, 0.398)
Nd (0.500, 0.500, 0.296)
Nd (0.500, 0.500, 0.911)
Nd (0.500, 0.500, 0.704)
Sm (0.000, 0.000, 0.805)
Sm (0.000, 0.000, 0.195)
In (0.000, 0.000, 0.000)
Nd (0.500, 0.500, 0.089)
Nd (0.500, 0.500, 0.500)

The energy of each structure relative to the most stable one, in meV per atom, is as follows: <a> 108; <b> 0.